(1)
DFT (PBE) results for an optimized crystal structure of AlP2Rh.

It has space group P4/mmm (No. 123), with a = 4.439 Å, b = 4.439 Å, c = 2.864 Å, α = 90.00°, β = 90.00° and γ = 90.00°. The asymmetric unit holds Al at (0.000, 0.000, 0.000), P at (0.000, 0.500, 0.500) and Rh at (0.500, 0.500, 0.000).

The electronic total energy comes out at -22.0 eV for the cell shown. Its energy of formation from the pure elements is -21.6 meV per atom.

***

(2)
DFT (PBE) results for an optimized crystal structure of CdHg3O4.

It has space group Amm2 (No. 38), with a = 3.697 Å, b = 8.201 Å, c = 8.903 Å, α = 90.00°, β = 90.00° and γ = 90.00°. The asymmetric unit holds Cd at (0.000, 0.000, 0.000), Hg at (0.000, 0.000, 0.396), Hg at (0.500, 0.212, 0.698), O at (0.000, 0.228, 0.540), O at (0.500, 0.000, 0.220) and O at (0.500, 0.000, 0.848).

The electronic total energy comes out at -49.3 eV for the cell shown. Its formation energy from raw total energies is -0.372 eV per atom.

***

(3)
DFT (PBE) results for an optimized crystal structure of HgNOF2.

It has space group P4/mmm (No. 123), with a = 4.493 Å, b = 4.493 Å, c = 4.284 Å, α = 90.00°, β = 90.00° and γ = 90.00°. The asymmetric unit holds Hg at (0.000, 0.000, 0.000), N at (0.000, 0.000, 0.500), O at (0.500, 0.500, 0.500) and F at (0.000, 0.500, 0.000).

The electronic total energy comes out at -13.2 eV for the cell shown. Its formation energy from raw total energies is 0.833 eV per atom.